Entry 1:
YN: relaxed, PBE-GGA.

Geometry as POSCAR:
```
YN
1.0
4.899 0.000 0.000
-2.450 4.243 0.000
0.000 0.000 4.557
Y N
3 3
Direct
0.000 0.000 0.000
0.333 0.667 0.500
0.667 0.333 0.500
0.000 0.000 0.500
0.333 0.667 0.000
0.667 0.333 0.000
```

Values from the calculation:
For the uncorrected formation energy, the calculation gives -0.41 eV/f.u. As for the space-group type: P6/mmm (191). The density of states at the Fermi level is 1.6 states/eV/f.u.

***

Entry 2:
K2TlInI5: relaxed, PBE-GGA.

Geometry as POSCAR:
```
K2TlInI5
1.0
2.687 -10.690 0.000
2.687 10.690 0.000
0.000 0.000 14.288
K Tl In I
4 2 2 10
Direct
0.124 0.876 0.500
0.135 0.865 0.144
0.865 0.135 0.644
0.876 0.124 0.000
0.212 0.788 0.848
0.788 0.212 0.348
0.454 0.546 0.262
0.546 0.454 0.762
0.035 0.965 0.840
0.292 0.708 0.502
0.326 0.674 0.178
0.367 0.633 0.826
0.489 0.511 0.578
0.511 0.489 0.078
0.633 0.367 0.326
0.674 0.326 0.678
0.708 0.292 0.002
0.965 0.035 0.340
```

Values from the calculation:
For the uncorrected formation energy, the calculation gives -8.31 eV/f.u. As for the space-group type: Cmc2_1 (36). The density of states at the Fermi level is 1.3 states/eV/f.u.

***

Entry 3:
Li2Hg3Pd8: relaxed, PBE-GGA.

Geometry as POSCAR:
```
Li2Hg3Pd8
1.0
2.704 1.561 9.630
-2.704 1.561 9.630
0.000 -3.122 9.630
Li Hg Pd
2 3 8
Direct
0.156 0.156 0.156
0.844 0.844 0.844
0.334 0.334 0.334
0.500 0.500 0.500
0.666 0.666 0.666
0.241 0.241 0.241
0.248 0.751 0.751
0.249 0.249 0.752
0.249 0.752 0.249
0.751 0.248 0.751
0.751 0.751 0.248
0.752 0.249 0.249
0.759 0.759 0.759
```

Values from the calculation:
As for the space-group type: R-3m (166). The value obtained for the formation energy is -0.06 eV per atom. The density of states at the Fermi level is 8.2 states/eV/f.u.

***

Entry 4:
K3MgC2O6: relaxed, PBE-GGA.

Geometry as POSCAR:
```
K3MgC2O6
1.0
5.253 0.000 0.000
-2.626 4.549 0.000
0.000 0.000 9.207
K Mg C O
3 1 2 6
Direct
0.000 0.000 0.000
0.333 0.667 0.710
0.667 0.333 0.290
0.000 0.000 0.500
0.333 0.667 0.367
0.667 0.333 0.633
0.190 0.380 0.365
0.190 0.810 0.365
0.380 0.190 0.635
0.620 0.810 0.365
0.810 0.190 0.635
0.810 0.620 0.635
```

Values from the calculation:
For the uncorrected formation energy, the calculation gives -20.17 eV/f.u. As for the space-group type: P-3m1 (164). The density of states at the Fermi level is 1.3 states/eV/f.u.

***

Entry 5:
LaPmSc: relaxed, PBE-GGA.

Geometry as POSCAR:
```
LaPmSc
1.0
-1.800 1.800 7.362
1.800 -1.800 7.362
1.800 1.800 -7.362
La Pm Sc
1 1 1
Direct
0.000 0.000 0.000
0.681 0.681 0.000
0.338 0.338 0.000
```

Values from the calculation:
For the energy above the most stable polymorph in this dataset, the calculation gives 0 meV/atom. As for the space-group type: I4mm (107). The value obtained for the formation energy is 0.07 eV per atom. The density of states at the Fermi level is 5.0 states/eV/f.u.

***

Entry 6:
MnP2HS: relaxed, PBE-GGA.

Geometry as POSCAR:
```
MnP2HS
1.0
4.332 0.000 0.000
0.000 4.332 0.000
0.000 0.000 4.493
Mn P H S
1 2 1 1
Direct
0.000 0.000 0.000
0.000 0.500 0.000
0.500 0.000 0.000
0.500 0.500 0.500
0.000 0.000 0.500
```

Values from the calculation:
For the energy above the most stable polymorph in this dataset, the calculation gives 362 meV/atom. As for the space-group type: P4/mmm (123). The density of states at the Fermi level is 3.8 states/eV/f.u.

***

Entry 7:
Sb2TeCl: relaxed, PBE-GGA.

Geometry as POSCAR:
```
Sb2TeCl
1.0
3.252 0.000 0.000
0.000 6.506 0.000
-1.577 0.000 5.970
Sb Te Cl
2 1 1
Direct
0.000 0.000 0.000
0.248 0.500 0.063
0.529 0.500 0.524
0.085 0.000 0.393
```

Values from the calculation:
For the energy above the most stable polymorph in this dataset, the calculation gives 103 meV/atom. For the uncorrected formation energy, the calculation gives -0.22 eV/f.u. As for the space-group type: Pm (6). The density of states at the Fermi level is 1.4 states/eV/f.u.

***

Entry 8:
TbSm8Ho2: relaxed, PBE-GGA.

Geometry as POSCAR:
```
TbSm8Ho2
1.0
5.574 -3.707 0.000
5.574 3.707 0.000
-2.604 0.000 8.901
Tb Sm Ho
1 8 2
Direct
0.000 0.000 0.000
0.211 0.650 0.727
0.308 0.308 0.001
0.328 0.328 0.379
0.350 0.789 0.273
0.650 0.211 0.727
0.672 0.672 0.621
0.692 0.692 0.999
0.789 0.350 0.273
0.142 0.142 0.624
0.858 0.858 0.376
```

Values from the calculation:
For the energy above the most stable polymorph in this dataset, the calculation gives 0 meV/atom. As for the space-group type: C2/m (12). The value obtained for the formation energy is 0.12 eV per atom. The density of states at the Fermi level is 17.4 states/eV/f.u.

***

Entry 9:
TaCu2Mo: relaxed, PBE-GGA.

Geometry as POSCAR:
```
TaCu2Mo
1.0
2.778 0.000 0.000
0.000 3.873 0.000
-0.017 0.000 5.391
Ta Cu Mo
1 2 1
Direct
0.000 0.000 0.000
0.500 0.500 0.256
0.500 0.500 0.744
0.000 0.000 0.500
```

Values from the calculation:
For the energy above the most stable polymorph in this dataset, the calculation gives 64 meV/atom. As for the space-group type: P2/m (10). The value obtained for the formation energy is 0.17 eV per atom. The density of states at the Fermi level is 2.9 states/eV/f.u.

***

Entry 10:
Tb2YSc3Se6: relaxed, PBE-GGA.

Geometry as POSCAR:
```
Tb2YSc3Se6
1.0
3.433 -5.977 0.000
3.433 5.977 0.000
-2.296 0.000 6.540
Tb Y Sc Se
2 1 3 6
Direct
0.167 0.833 0.000
0.833 0.167 0.000
0.500 0.500 0.000
0.000 0.000 0.500
0.333 0.667 0.500
0.667 0.333 0.500
0.078 0.411 0.733
0.256 0.256 0.267
0.411 0.078 0.733
0.589 0.922 0.267
0.744 0.744 0.733
0.922 0.589 0.267
```

Values from the calculation:
For the uncorrected formation energy, the calculation gives -20.12 eV/f.u. As for the space-group type: C2/m (12). The density of states at the Fermi level is 6.4 states/eV/f.u.

***

Entry 11:
TaMo2Pb: relaxed, PBE-GGA.

Geometry as POSCAR:
```
TaMo2Pb
1.0
1.574 0.909 9.036
-1.574 0.909 9.036
0.000 -1.818 9.036
Ta Mo Pb
1 2 1
Direct
0.000 0.000 0.000
0.257 0.257 0.257
0.522 0.522 0.522
0.763 0.763 0.763
```

Values from the calculation:
As for the space-group type: R3m (160). The value obtained for the formation energy is 0.52 eV per atom. The density of states at the Fermi level is 6.2 states/eV/f.u.

***

Entry 12:
CeHo4Tm3S8: relaxed, PBE-GGA.

Geometry as POSCAR:
```
CeHo4Tm3S8
1.0
3.887 2.244 6.338
-3.887 2.244 6.338
0.000 -4.488 6.338
Ce Ho Tm S
1 4 3 8
Direct
0.000 0.000 0.000
0.000 0.000 0.500
0.000 0.500 0.000
0.500 0.000 0.000
0.500 0.500 0.500
0.000 0.500 0.500
0.500 0.000 0.500
0.500 0.500 0.000
0.251 0.251 0.251
0.254 0.254 0.744
0.254 0.744 0.254
0.256 0.746 0.746
0.744 0.254 0.254
0.746 0.256 0.746
0.746 0.746 0.256
0.749 0.749 0.749
```

Values from the calculation:
For the uncorrected formation energy, the calculation gives -31.45 eV/f.u. As for the space-group type: R-3m (166). The density of states at the Fermi level is 10.4 states/eV/f.u.

***

Entry 13:
Np2AsS: relaxed, PBE-GGA.

Geometry as POSCAR:
```
Np2AsS
1.0
1.893 1.093 7.379
-1.893 1.093 7.379
0.000 -2.186 7.379
Np As S
2 1 1
Direct
0.000 0.000 0.000
0.167 0.167 0.167
0.584 0.584 0.584
0.415 0.415 0.415
```

Values from the calculation:
For the energy above the most stable polymorph in this dataset, the calculation gives 187 meV/atom. For the uncorrected formation energy, the calculation gives -3.35 eV/f.u. As for the space-group type: R3m (160). The density of states at the Fermi level is 14.0 states/eV/f.u.

***

Entry 14:
TlCu2AgBr4: relaxed, PBE-GGA.

Geometry as POSCAR:
```
TlCu2AgBr4
1.0
5.533 -4.087 0.000
5.533 4.087 0.000
-4.566 0.000 5.447
Tl Cu Ag Br
1 2 1 4
Direct
0.000 0.000 0.000
0.346 0.347 0.845
0.653 0.654 0.155
0.500 0.500 0.500
0.145 0.495 0.069
0.495 0.145 0.571
0.505 0.855 0.931
0.855 0.505 0.429
```

Values from the calculation:
For the uncorrected formation energy, the calculation gives -3.36 eV/f.u. As for the space-group type: C2 (5). The density of states at the Fermi level is 0.0 states/eV/f.u.

***

Entry 15:
AgCl5: relaxed, PBE-GGA.

Geometry as POSCAR:
```
AgCl5
1.0
5.016 0.000 0.000
0.000 2.054 9.589
0.000 -2.054 9.589
Ag Cl
1 5
Direct
0.000 0.000 0.000
0.000 0.423 0.423
0.000 0.593 0.593
0.500 0.257 0.257
0.500 0.594 0.594
0.500 0.797 0.797
```

Values from the calculation:
For the energy above the most stable polymorph in this dataset, the calculation gives 112 meV/atom. For the uncorrected formation energy, the calculation gives 0.08 eV/f.u. As for the space-group type: Amm2 (38). The density of states at the Fermi level is 5.4 states/eV/f.u.

***

Entry 16:
MgTaIr: relaxed, PBE-GGA.

Geometry as POSCAR:
```
MgTaIr
1.0
4.466 0.000 0.000
-2.233 3.868 0.000
0.000 0.000 2.879
Mg Ta Ir
1 1 1
Direct
0.000 0.000 0.000
0.333 0.667 0.424
0.667 0.333 0.692
```

Values from the calculation:
As for the space-group type: P3m1 (156). The value obtained for the formation energy is -0.21 eV per atom. The density of states at the Fermi level is 2.8 states/eV/f.u.

***

Entry 17:
Nb7Sb2H2Se: relaxed, PBE-GGA.

Geometry as POSCAR:
```
Nb7Sb2H2Se
1.0
3.001 -3.004 0.000
3.001 3.004 0.000
-2.958 0.000 10.984
Nb Sb H Se
7 2 2 1
Direct
0.000 0.000 0.000
0.092 0.591 0.185
0.183 0.183 0.370
0.409 0.908 0.815
0.591 0.092 0.185
0.817 0.817 0.630
0.908 0.409 0.815
0.317 0.317 0.629
0.683 0.683 0.371
0.091 0.091 0.185
0.909 0.909 0.815
0.500 0.500 0.000
```

Values from the calculation:
The calculation puts the total energy at -0.27573 hartree per atom. As for the space-group type: C2/m (12). The density of states at the Fermi level is 8.6 states/eV/f.u.

***

Entry 18:
NaPrBi2: relaxed, PBE-GGA.

Geometry as POSCAR:
```
NaPrBi2
1.0
1.840 1.062 10.681
-1.840 1.062 10.681
0.000 -2.125 10.681
Na Pr Bi
1 1 2
Direct
0.000 0.000 0.000
0.500 0.500 0.500
0.252 0.252 0.252
0.748 0.748 0.748
```

Values from the calculation:
For the energy above the most stable polymorph in this dataset, the calculation gives 199 meV/atom. As for the space-group type: R-3m (166). The value obtained for the formation energy is -0.38 eV per atom. The density of states at the Fermi level is 3.1 states/eV/f.u.

***

Entry 19:
Nd3Y3Tm: relaxed, PBE-GGA.

Geometry as POSCAR:
```
Nd3Y3Tm
1.0
4.383 2.531 7.245
-4.383 2.531 7.245
0.000 -5.061 7.245
Nd Y Tm
6 6 2
Direct
0.063 0.817 0.295
0.183 0.705 0.937
0.295 0.063 0.817
0.705 0.937 0.183
0.817 0.295 0.063
0.937 0.183 0.705
0.062 0.569 0.725
0.275 0.938 0.431
0.431 0.275 0.938
0.569 0.725 0.062
0.725 0.062 0.569
0.938 0.431 0.275
0.350 0.350 0.350
0.650 0.650 0.650
```

Values from the calculation:
For the energy above the most stable polymorph in this dataset, the calculation gives 77 meV/atom. As for the space-group type: R-3 (148). The value obtained for the formation energy is 0.25 eV per atom. The density of states at the Fermi level is 11.1 states/eV/f.u.

***

Entry 20:
K2BaCeCl8: relaxed, PBE-GGA.

Geometry as POSCAR:
```
K2BaCeCl8
1.0
6.772 0.000 0.000
0.000 9.294 0.000
-0.277 0.000 7.190
K Ba Ce Cl
2 1 1 8
Direct
0.000 0.249 0.000
0.000 0.751 0.000
0.500 0.000 0.500
0.500 0.500 0.500
0.158 0.000 0.231
0.192 0.500 0.269
0.347 0.289 0.699
0.347 0.711 0.699
0.653 0.289 0.301
0.653 0.711 0.301
0.808 0.500 0.731
0.842 0.000 0.769
```

Values from the calculation:
For the uncorrected formation energy, the calculation gives -25.00 eV/f.u. As for the space-group type: P2/m (10).

***

Entry 21:
SrEu3Zn: relaxed, PBE-GGA.

Geometry as POSCAR:
```
SrEu3Zn
1.0
6.027 0.000 0.000
0.000 6.027 0.000
0.000 0.000 6.027
Sr Eu Zn
1 3 1
Direct
0.000 0.000 0.000
0.000 0.500 0.500
0.500 0.000 0.500
0.500 0.500 0.000
0.500 0.500 0.500
```

Values from the calculation:
As for the space-group type: Pm-3m (221). The value obtained for the formation energy is 0.00 eV per atom. The density of states at the Fermi level is 25.1 states/eV/f.u.

***

Entry 22:
Pa2Cu4S5: relaxed, PBE-GGA.

Geometry as POSCAR:
```
Pa2Cu4S5
1.0
1.921 1.109 15.871
-1.921 1.109 15.871
0.000 -2.218 15.871
Pa Cu S
2 4 5
Direct
0.135 0.135 0.135
0.865 0.865 0.865
0.310 0.310 0.310
0.414 0.414 0.414
0.586 0.586 0.586
0.690 0.690 0.690
0.234 0.234 0.234
0.366 0.366 0.366
0.500 0.500 0.500
0.634 0.634 0.634
0.766 0.766 0.766
```

Values from the calculation:
For the uncorrected formation energy, the calculation gives -8.30 eV/f.u. As for the space-group type: R-3m (166). The density of states at the Fermi level is 6.4 states/eV/f.u.

***

Entry 23:
LaHo5Bi6: relaxed, PBE-GGA.

Geometry as POSCAR:
```
LaHo5Bi6
1.0
3.902 -6.759 0.000
3.902 6.759 0.000
-2.609 0.000 7.355
La Ho Bi
1 5 6
Direct
0.000 0.000 0.000
0.163 0.837 0.500
0.332 0.668 0.000
0.500 0.500 0.500
0.668 0.332 0.000
0.837 0.163 0.500
0.086 0.427 0.256
0.258 0.258 0.748
0.427 0.086 0.256
0.573 0.914 0.744
0.742 0.742 0.252
0.914 0.573 0.744
```

Values from the calculation:
As for the space-group type: C2/m (12). The value obtained for the formation energy is -0.87 eV per atom. The density of states at the Fermi level is 2.0 states/eV/f.u.

***

Entry 24:
DySc4Al2: relaxed, PBE-GGA.

Geometry as POSCAR:
```
DySc4Al2
1.0
2.500 1.443 7.312
-2.500 1.443 7.312
0.000 -2.886 7.312
Dy Sc Al
1 4 2
Direct
0.000 0.000 0.000
0.154 0.154 0.154
0.424 0.424 0.424
0.576 0.576 0.576
0.846 0.846 0.846
0.282 0.282 0.282
0.718 0.718 0.718
```

Values from the calculation:
For the energy above the most stable polymorph in this dataset, the calculation gives 0 meV/atom. As for the space-group type: R-3m (166). The value obtained for the formation energy is -0.26 eV per atom. The density of states at the Fermi level is 6.7 states/eV/f.u.